CaAsC3 (GGA-PBE, optimized geometry); space-group type = No. 221; E = -0.1279 Ha/atom; V = 85.8 Å³ per cell; DOS at the Fermi energy = 4.71 states/eV/cell; energy of formation from the pure elements = 3385 meV per atom; offset from the most stable computed form = 1.511 eV per atom; magnetic moment = 0.00 μB/atom
1.0
4.410 0.000 0.000
0.000 4.410 0.000
0.000 0.000 4.410
Ca As C
1 1 3
Cartesian
0.000 0.000 0.000 Ca
2.205 2.205 2.205 As
0.000 0.000 2.205 C
0.000 2.205 0.000 C
2.205 0.000 0.000 C